Material: LuThCo4
Method: DFT, PBE
State: optimized geometry

Cell: 5.040 5.040 5.040 Å, 60.00 60.00 60.00°
Fractional coordinates of all 6 atoms:
Co1 0.626 0.626 0.122
Co2 0.626 0.122 0.626
Co3 0.122 0.626 0.626
Co4 0.626 0.626 0.626
Lu1 0.000 0.000 0.000
Th1 0.250 0.250 0.250

Computed properties:
* symmetry: No. 216
* ΔH_f (0 K): -0.228 eV per atom
* E: -41.73 eV/cell
* volume: 91 Å³/f.u.
* N(E_F): 1.140 states/eV per atom



Material: LuThCo2
Method: DFT, PBE
State: optimized geometry

Cell: 3.374 4.747 4.747 Å, 90.00 90.00 90.00°
Fractional coordinates of all 4 atoms:
Lu1 0.500 0.000 0.000
Co1 0.000 0.500 0.000
Co2 0.000 0.000 0.500
Th1 0.500 0.500 0.500

Computed properties:
* symmetry: No. 123
* ΔH_f (0 K): -0.202 eV per atom
* E: -26.96 eV/cell
* volume: 76 Å³/f.u.
* N(E_F): 0.743 states/eV per atom



Material: LuThZnCo
Method: DFT, PBE
State: optimized geometry

Cell: 4.927 4.927 4.927 Å, 60.00 60.00 60.00°
Fractional coordinates of all 4 atoms:
Zn1 0.250 0.250 0.250
Lu1 0.000 0.000 0.000
Th1 0.500 0.500 0.500
Co1 0.750 0.750 0.750

Computed properties:
* symmetry: No. 216
* ΔH_f (0 K): -0.184 eV per atom
* E: -21.06 eV/cell
* volume: 85 Å³/f.u.
* N(E_F): 0.958 states/eV per atom



Material: LuTiCo4
Method: DFT, PBE
State: optimized geometry

Cell: 4.855 4.855 4.855 Å, 60.00 60.00 60.00°
Each line ends with the local moment (μB).
Fractional coordinates of all 6 atoms:
Lu1 0.000 0.000 0.000  -0.25
Ti1 0.250 0.250 0.250  -0.57
Co1 0.625 0.625 0.625  0.93
Co2 0.625 0.126 0.625  0.93
Co3 0.126 0.625 0.625  0.93
Co4 0.625 0.625 0.126  0.93

Computed properties:
* symmetry: No. 216
* ΔH_f (0 K): -0.261 eV per atom
* E: -42.40 eV/cell
* volume: 81 Å³/f.u.
* N(E_F): 1.180 states/eV per atom



Material: LuTiCo2
Method: DFT, PBE
State: optimized geometry

Cell: 3.091 4.440 4.440 Å, 90.00 90.00 90.00°
Each line ends with the local moment (μB).
Fractional coordinates of all 4 atoms:
Lu1 0.500 0.000 0.000  -0.18
Co1 0.000 0.000 0.500  0.80
Co2 0.000 0.500 0.000  0.80
Ti1 0.500 0.500 0.500  -0.20

Computed properties:
* symmetry: No. 123
* ΔH_f (0 K): -0.242 eV per atom
* E: -27.60 eV/cell
* volume: 61 Å³/f.u.
* N(E_F): 0.515 states/eV per atom



Material: LuTiCo2
Method: DFT, PBE
State: optimized geometry

Cell: 3.073 3.073 6.431 Å, 90.00 90.00 90.00°
Each line ends with the local moment (μB).
Fractional coordinates of all 4 atoms:
Ti1 0.500 0.500 0.000  -0.14
Co1 0.000 0.000 0.787  0.56
Co2 0.000 0.000 0.213  0.56
Lu1 0.500 0.500 0.500  -0.10

Computed properties:
* symmetry: No. 123
* ΔH_f (0 K): -0.319 eV per atom
* E: -27.91 eV/cell
* volume: 61 Å³/f.u.
* N(E_F): 0.823 states/eV per atom



Material: LuTiCo2
Method: DFT, PBE
State: optimized geometry

Cell: 4.421 4.421 4.421 Å, 60.00 60.00 60.00°
Each line ends with the local moment (μB).
Fractional coordinates of all 4 atoms:
Ti1 0.500 0.500 0.500  -0.22
Lu1 0.000 0.000 0.000  -0.15
Co1 0.750 0.750 0.750  0.81
Co2 0.250 0.250 0.250  0.81

Computed properties:
* symmetry: No. 225
* ΔH_f (0 K): -0.247 eV per atom
* E: -27.62 eV/cell
* volume: 61 Å³/f.u.
* N(E_F): 0.757 states/eV per atom



Material: LuTiZnCo
Method: DFT, PBE
State: optimized geometry

Cell: 4.564 4.564 4.564 Å, 60.00 60.00 60.00°
Each line ends with the local moment (μB).
Fractional coordinates of all 4 atoms:
Ti1 0.250 0.250 0.250  -0.47
Lu1 0.750 0.750 0.750  -0.12
Co1 0.000 0.000 0.000  0.81
Zn1 0.500 0.500 0.500  0.00

Computed properties:
* symmetry: No. 216
* ΔH_f (0 K): -0.160 eV per atom
* E: -21.44 eV/cell
* volume: 67 Å³/f.u.
* N(E_F): 0.900 states/eV per atom